# 1
Here is crystalline Pa2Ge3Ru at its relaxed geometry from Alexandria via LeMat-Bulk. Energies are from PBE-GGA.

Cell lengths 5.7919, 5.7919, 8.2446 Å; angles 108.65, 108.65, 95.15 degrees
With the nearest neighbours (Å) after each atom.
Element x y z (fractional)
Pa 0.2500 0.7500 0.5000  8 Ge 3.10-3.11, 4 Ru 3.18
Pa 0.7379 0.7379 0.0000  2 Ru 2.98, 10 Ge 3.12-3.22
Pa 0.7500 0.2500 0.5000  8 Ge 3.10-3.11, 4 Ru 3.18
Pa 0.2621 0.2621 0.0000  2 Ru 2.98, 10 Ge 3.12-3.22
Ge 0.6712 0.1602 0.8315  2 Ge 2.44-2.45, 1 Ru 2.45
Ge 0.8398 0.3288 0.1685  2 Ge 2.44-2.45, 1 Ru 2.45
Ge 0.3288 0.8398 0.1685  2 Ge 2.44-2.45, 1 Ru 2.45
Ge 0.1602 0.6712 0.8315  2 Ge 2.44-2.45, 1 Ru 2.45
Ge 0.8288 0.8288 0.6576  2 Ge 2.44, 1 Ru 2.45
Ge 0.1712 0.1712 0.3424  2 Ge 2.44, 1 Ru 2.45
Ru 0.3400 0.3400 0.6799  3 Ge 2.45
Ru 0.6600 0.6600 0.3201  3 Ge 2.45

Results
Magnetic moment (μB/f.u.): 0.0
DOS(E_F) (states/eV/cell): 13.3
Final energy (eV per formula unit): -45.02

---

# 2
Here is crystalline Pa2GeRu at its relaxed geometry from Alexandria via LeMat-Bulk. Energies are from PBE-GGA.

Cell lengths 3.6972, 3.6972, 6.0322 Å; angles 90.00, 90.00, 90.00 degrees
With the nearest neighbours (Å) after each atom.
Element x y z (fractional)
Ru 0.5000 0.5000 0.5000  8 Pa 3.01, 2 Ge 3.02
Ge 0.5000 0.5000 0.0000  2 Ru 3.02, 8 Pa 3.02
Pa 0.0000 0.0000 0.7488  2 Pa 3.00-3.03, 4 Ru 3.01, 4 Ge 3.02
Pa 0.0000 0.0000 0.2512  2 Pa 3.00-3.03, 4 Ru 3.01, 4 Ge 3.02

Results
Distance to the lowest polymorph of the same formula (meV per atom): 104.7
Magnetic moment (μB/f.u.): 0.0
DOS(E_F) (states/eV/cell): 5.4

---

# 3
Here is crystalline Pa4Ge8Ru at its relaxed geometry from Alexandria via LeMat-Bulk. Energies are from PBE-GGA.

Cell lengths 4.0733, 4.1112, 16.0819 Å; angles 90.00, 90.00, 90.00 degrees
With the nearest neighbours (Å) after each atom.
Element x y z (fractional)
Pa 0.0000 0.0000 0.0980  8 Ge 2.94-3.00
Pa 0.0000 0.5000 0.6134  10 Ge 2.99-3.12
Pa 0.5000 0.5000 0.3948  10 Ge 3.12-3.44, 4 Ru 3.15
Pa 0.5000 0.0000 0.8924  10 Ge 2.98-3.24
Ge 0.0000 0.0000 0.4675  1 Ru 2.40, 2 Ge 2.58
Ge 0.0000 0.5000 0.9370  2 Ge 2.71, 4 Pa 2.98
Ge 0.5000 0.5000 0.0484  2 Ge 2.71, 4 Pa 3.00
Ge 0.5000 0.0000 0.5663  2 Ge 2.58
Ge 0.0000 0.5000 0.2308  2 Ru 2.49
Ge 0.0000 0.0000 0.7539  4 Ge 2.89, 4 Pa 3.02-3.06
Ge 0.5000 0.0000 0.2301  2 Ru 2.48
Ge 0.5000 0.5000 0.7524  4 Ge 2.89, 4 Pa 3.02-3.05
Ru 0.0000 0.0000 0.3180  5 Ge 2.40-2.49

Results
Magnetic moment (μB/f.u.): 0.0
DOS(E_F) (states/eV/cell): 12.3
Final energy (eV per formula unit): -89.95

---

# 4
Here is crystalline Pa8GeRu6 at its relaxed geometry from Alexandria via LeMat-Bulk. Energies are from PBE-GGA.

Cell lengths 6.9115, 6.9115, 6.9115 Å; angles 87.24, 87.24, 87.24 degrees
With the nearest neighbours (Å) after each atom.
Element x y z (fractional)
Pa 0.7601 0.7601 0.7601  3 Ru 2.71, 1 Ge 3.01
Pa 0.2399 0.2399 0.2399  3 Ru 2.71, 1 Ge 3.01
Pa 0.6383 0.8916 0.2043  4 Ru 2.68-3.00, 1 Ge 2.92
Pa 0.8916 0.2043 0.6383  4 Ru 2.68-3.00, 1 Ge 2.92
Pa 0.2043 0.6383 0.8916  4 Ru 2.68-3.00, 1 Ge 2.92
Pa 0.3617 0.1084 0.7957  4 Ru 2.68-3.00, 1 Ge 2.92
Pa 0.1084 0.7957 0.3617  4 Ru 2.68-3.00, 1 Ge 2.92
Pa 0.7957 0.3617 0.1084  4 Ru 2.68-3.00, 1 Ge 2.92
Ge 0.0000 0.0000 0.0000  8 Pa 2.92-3.01
Ru 0.5484 0.4394 0.7956  5 Pa 2.68-3.00, 2 Ru 2.94
Ru 0.4394 0.7956 0.5484  5 Pa 2.68-3.00, 2 Ru 2.94
Ru 0.7956 0.5484 0.4394  5 Pa 2.68-3.00, 2 Ru 2.94
Ru 0.4516 0.5606 0.2044  5 Pa 2.68-3.00, 2 Ru 2.94
Ru 0.5606 0.2044 0.4516  5 Pa 2.68-3.00, 2 Ru 2.94
Ru 0.2044 0.4516 0.5606  5 Pa 2.68-3.00, 2 Ru 2.94

Results
Magnetic moment (μB/f.u.): 0.0
DOS(E_F) (states/eV/cell): 24.4
Final energy (eV per formula unit): -139.67

---

# 5
Here is crystalline Pa3Ge2Ru7 at its relaxed geometry from Alexandria via LeMat-Bulk. Energies are from PBE-GGA.

Cell lengths 4.1528, 4.1528, 12.7468 Å; angles 99.38, 99.38, 90.00 degrees
With the nearest neighbours (Å) after each atom.
Element x y z (fractional)
Pa 0.3339 0.3339 0.6678  1 Ru 2.29
Pa 0.6661 0.6661 0.3322  1 Ru 2.29
Pa 0.5000 0.5000 0.0000  12 Ru 2.90-2.94
Ge 0.1370 0.1370 0.2739  5 Ru 2.49-2.60
Ge 0.8630 0.8630 0.7261  5 Ru 2.49-2.60
Ru 0.0000 0.0000 0.0000  8 Ru 2.90, 4 Pa 2.94
Ru 0.9185 0.4185 0.8369  2 Ge 2.49
Ru 0.4185 0.9185 0.8369  2 Ge 2.49
Ru 0.0815 0.5815 0.1631  2 Ge 2.49
Ru 0.5815 0.0815 0.1631  2 Ge 2.49
Ru 0.2417 0.2417 0.4833  1 Pa 2.29
Ru 0.7583 0.7583 0.5167  1 Pa 2.29

Results
Magnetic moment (μB/f.u.): 0.0
DOS(E_F) (states/eV/cell): 7.5
Final energy (eV per formula unit): -108.23

---

# 6
Here is crystalline Pa2Ge4Ru3 at its relaxed geometry from Alexandria via LeMat-Bulk. Energies are from PBE-GGA.

Cell lengths 5.5790, 5.5790, 6.6446 Å; angles 101.92, 101.92, 120.53 degrees
With the nearest neighbours (Å) after each atom.
Element x y z (fractional)
Pa 0.6228 0.6228 0.2456  1 Pa 2.97, 8 Ge 3.04-3.28, 6 Ru 3.14-3.16
Pa 0.3772 0.3772 0.7544  1 Pa 2.97, 8 Ge 3.04-3.28, 6 Ru 3.14-3.16
Ge 0.0020 0.6728 0.6748  3 Ru 2.53-2.54, 1 Ge 2.68
Ge 0.6728 0.0020 0.6748  3 Ru 2.53-2.54, 1 Ge 2.68
Ge 0.9980 0.3272 0.3252  3 Ru 2.53-2.54, 1 Ge 2.68
Ge 0.3272 0.9980 0.3252  3 Ru 2.53-2.54, 1 Ge 2.68
Ru 0.5000 0.0000 0.0000  4 Ge 2.54, 4 Ru 2.77-2.79
Ru 0.0000 0.0000 0.0000  4 Ge 2.53, 4 Ru 2.79
Ru 0.0000 0.5000 0.0000  4 Ge 2.54, 4 Ru 2.77-2.79

Results
Magnetic moment (μB/f.u.): 0.0
DOS(E_F) (states/eV/cell): 8.3
Final energy (eV per formula unit): -69.39